Entry 1:
Below is PrSmTlIn after structural relaxation, with properties calculated at the PBE level.

Structure (CIF):
```
data_PrSmTlIn
_space_group_name_H-M_alt 'P 1'
_space_group_IT_number 1
_cell_length_a 5.4924
_cell_length_b 5.4924
_cell_length_c 5.4924
_cell_angle_alpha 60.00
_cell_angle_beta 60.00
_cell_angle_gamma 60.00
loop_
_space_group_symop_operation_xyz
'x,y,z'
loop_
_atom_site_label
_atom_site_fract_x
_atom_site_fract_y
_atom_site_fract_z
Pr1 0.2500 0.2500 0.2500
Tl1 0.0000 0.0000 0.0000
Sm1 0.7500 0.7500 0.7500
In1 0.5000 0.5000 0.5000
```

Results
* total magnetization: 0.0 Bohr magnetons per cell
* energy above the lowest structure with this stoichiometry: 6.9 meV per atom
* ΔE_f: -1.74 eV per formula unit

Entry 2:
Below is Nb2Tc2Pt after structural relaxation, with properties calculated at the PBE level.

Structure (CIF):
```
data_Nb2Tc2Pt
_space_group_name_H-M_alt 'P 1'
_space_group_IT_number 1
_cell_length_a 7.1242
_cell_length_b 7.1242
_cell_length_c 3.3249
_cell_angle_alpha 90.00
_cell_angle_beta 90.00
_cell_angle_gamma 90.00
loop_
_space_group_symop_operation_xyz
'x,y,z'
loop_
_atom_site_label
_atom_site_fract_x
_atom_site_fract_y
_atom_site_fract_z
Nb1 0.1865 0.6865 0.5000
Nb2 0.6865 0.8135 0.5000
Nb3 0.8135 0.3135 0.5000
Nb4 0.3135 0.1865 0.5000
Tc1 0.3769 0.8769 0.0000
Tc2 0.8769 0.6231 0.0000
Tc3 0.6231 0.1231 0.0000
Tc4 0.1231 0.3769 0.0000
Pt1 0.0000 0.0000 0.0000
Pt2 0.5000 0.5000 0.0000
```

Results
* total magnetization: 0.0 Bohr magnetons per cell
* ΔE_f: -0.07 eV per formula unit

Entry 3:
Below is CuS2Cl after structural relaxation, with properties calculated at the PBE level.

Structure (CIF):
```
data_CuS2Cl
_space_group_name_H-M_alt 'P 1'
_space_group_IT_number 1
_cell_length_a 3.6156
_cell_length_b 4.8673
_cell_length_c 8.7114
_cell_angle_alpha 90.00
_cell_angle_beta 90.00
_cell_angle_gamma 89.99
loop_
_space_group_symop_operation_xyz
'x,y,z'
loop_
_atom_site_label
_atom_site_fract_x
_atom_site_fract_y
_atom_site_fract_z
Cu1 0.9999 0.6201 0.2500
Cu2 0.0001 0.3799 0.7500
S1 0.4999 0.6621 0.0679
S2 0.4999 0.6621 0.4321
S3 0.5001 0.3379 0.9321
S4 0.5001 0.3379 0.5679
Cl1 0.0000 0.1275 0.2500
Cl2 0.0000 0.8725 0.7500
```

Results
* total magnetization: 0.0 Bohr magnetons per cell
* energy above the lowest structure with this stoichiometry: 139.3 meV per atom
* uncorrected formation energy: -147 meV/atom

Entry 4:
Below is TbEr2SnN4 after structural relaxation, with properties calculated at the PBE level.

Structure (CIF):
```
data_TbEr2SnN4
_space_group_name_H-M_alt 'P 1'
_space_group_IT_number 1
_cell_length_a 3.4542
_cell_length_b 5.9668
_cell_length_c 5.9996
_cell_angle_alpha 109.53
_cell_angle_beta 90.00
_cell_angle_gamma 90.00
loop_
_space_group_symop_operation_xyz
'x,y,z'
loop_
_atom_site_label
_atom_site_fract_x
_atom_site_fract_y
_atom_site_fract_z
Tb1 0.5000 0.5000 0.0000
Er1 0.5000 0.0000 0.5000
Er2 0.0000 0.5000 0.5000
Sn1 0.0000 0.0000 0.0000
N1 0.5000 0.2571 0.2611
N2 0.5000 0.7429 0.7389
N3 0.0000 0.2525 0.7412
N4 0.0000 0.7475 0.2588
```

Results
* total magnetization: 0.0 Bohr magnetons per cell
* uncorrected formation energy: -1102 meV/atom

Entry 5:
Below is Zr6P3H after structural relaxation, with properties calculated at the PBE level.

Structure (CIF):
```
data_Zr6P3H
_space_group_name_H-M_alt 'P 1'
_space_group_IT_number 1
_cell_length_a 5.9320
_cell_length_b 8.0398
_cell_length_c 8.0398
_cell_angle_alpha 101.57
_cell_angle_beta 90.00
_cell_angle_gamma 90.00
loop_
_space_group_symop_operation_xyz
'x,y,z'
loop_
_atom_site_label
_atom_site_fract_x
_atom_site_fract_y
_atom_site_fract_z
Zr1 0.1888 0.7018 0.6317
Zr2 0.6888 0.6317 0.7018
Zr3 0.1969 0.4443 0.8996
Zr4 0.6969 0.8996 0.4443
Zr5 0.1268 0.0511 0.9489
Zr6 0.6880 0.2262 0.7738
Zr7 0.1880 0.7738 0.2262
Zr8 0.6268 0.9489 0.0511
Zr9 0.1969 0.1004 0.5557
Zr10 0.6969 0.5557 0.1004
Zr11 0.1888 0.3683 0.2982
Zr12 0.6888 0.2982 0.3683
P1 0.4792 0.9345 0.7346
P2 0.9792 0.7346 0.9345
P3 0.3938 0.3954 0.6046
P4 0.8938 0.6046 0.3954
P5 0.9792 0.0655 0.2654
P6 0.4792 0.2654 0.0655
H1 0.0470 0.2117 0.7883
H2 0.5470 0.7883 0.2117
```

Results
* total magnetization: 0.0 Bohr magnetons per cell
* electronic total energy: -0.2927 hartree per atom

Entry 6:
Below is SrBeRe2 after structural relaxation, with properties calculated at the PBE level.

Structure (CIF):
```
data_SrBeRe2
_space_group_name_H-M_alt 'P 1'
_space_group_IT_number 1
_cell_length_a 4.7682
_cell_length_b 3.8542
_cell_length_c 3.8542
_cell_angle_alpha 90.00
_cell_angle_beta 90.00
_cell_angle_gamma 90.00
loop_
_space_group_symop_operation_xyz
'x,y,z'
loop_
_atom_site_label
_atom_site_fract_x
_atom_site_fract_y
_atom_site_fract_z
Re1 0.0000 0.0000 0.0000
Re2 0.0000 0.5000 0.5000
Be1 0.5000 0.0000 0.5000
Sr1 0.5000 0.5000 0.0000
```

Results
* total magnetization: 0.0 Bohr magnetons per cell
* ΔE_f: 4.77 eV per formula unit

Entry 7:
Below is Fe2Pd6Au after structural relaxation, with properties calculated at the PBE level.

Structure (CIF):
```
data_Fe2Pd6Au
_space_group_name_H-M_alt 'P 1'
_space_group_IT_number 1
_cell_length_a 3.9326
_cell_length_b 4.7948
_cell_length_c 8.2930
_cell_angle_alpha 106.04
_cell_angle_beta 90.00
_cell_angle_gamma 114.21
loop_
_space_group_symop_operation_xyz
'x,y,z'
loop_
_atom_site_label
_atom_site_fract_x
_atom_site_fract_y
_atom_site_fract_z
Fe1 0.6744 0.3488 0.7313
Fe2 0.3256 0.6512 0.2687
Pd1 0.3315 0.6630 0.9441
Pd2 0.6685 0.3370 0.0559
Pd3 0.9983 0.9967 0.1681
Pd4 0.6666 0.3331 0.3876
Pd5 0.0017 0.0033 0.8319
Pd6 0.3334 0.6669 0.6123
Au1 0.0000 0.0000 0.5000
```

Results
* total magnetization: 8.1 Bohr magnetons per cell
* energy above the lowest structure with this stoichiometry: 0.0 meV per atom
* ΔE_f: -0.76 eV per formula unit

Entry 8:
Below is Cd6GaHg2 after structural relaxation, with properties calculated at the PBE level.

Structure (CIF):
```
data_Cd6GaHg2
_space_group_name_H-M_alt 'P 1'
_space_group_IT_number 1
_cell_length_a 5.5917
_cell_length_b 5.5608
_cell_length_c 8.7549
_cell_angle_alpha 71.48
_cell_angle_beta 79.25
_cell_angle_gamma 54.02
loop_
_space_group_symop_operation_xyz
'x,y,z'
loop_
_atom_site_label
_atom_site_fract_x
_atom_site_fract_y
_atom_site_fract_z
Cd1 0.1631 0.8335 0.1747
Cd2 0.8369 0.4918 0.1747
Cd3 0.8369 0.1665 0.8253
Cd4 0.1631 0.5082 0.8253
Cd5 0.3374 0.3296 0.5000
Cd6 0.6626 0.6704 0.5000
Ga1 0.0000 0.0000 0.5000
Hg1 0.5000 0.8302 0.8396
Hg2 0.5000 0.1698 0.1604
```

Results
* total magnetization: 0.0 Bohr magnetons per cell
* energy above the lowest structure with this stoichiometry: 0.0 meV per atom
* ΔE_f: 0.29 eV per formula unit

Entry 9:
Below is ScTc3I after structural relaxation, with properties calculated at the PBE level.

Structure (CIF):
```
data_ScTc3I
_space_group_name_H-M_alt 'P 1'
_space_group_IT_number 1
_cell_length_a 4.7738
_cell_length_b 4.7738
_cell_length_c 4.7738
_cell_angle_alpha 90.00
_cell_angle_beta 90.00
_cell_angle_gamma 90.00
loop_
_space_group_symop_operation_xyz
'x,y,z'
loop_
_atom_site_label
_atom_site_fract_x
_atom_site_fract_y
_atom_site_fract_z
I1 0.5000 0.5000 0.5000
Sc1 0.0000 0.0000 0.0000
Tc1 0.0000 0.5000 0.0000
Tc2 0.0000 0.0000 0.5000
Tc3 0.5000 0.0000 0.0000
```

Results
* total magnetization: 4.6 Bohr magnetons per cell
* energy above the lowest structure with this stoichiometry: 472.1 meV per atom
* uncorrected formation energy: 1981 meV/atom

Entry 10:
Below is Ba3PrTm3Te8 after structural relaxation, with properties calculated at the PBE level.

Structure (CIF):
```
data_Ba3PrTm3Te8
_space_group_name_H-M_alt 'P 1'
_space_group_IT_number 1
_cell_length_a 8.9857
_cell_length_b 8.9822
_cell_length_c 9.4760
_cell_angle_alpha 118.27
_cell_angle_beta 90.00
_cell_angle_gamma 120.00
loop_
_space_group_symop_operation_xyz
'x,y,z'
loop_
_atom_site_label
_atom_site_fract_x
_atom_site_fract_y
_atom_site_fract_z
Ba1 0.0000 0.0000 0.0000
Ba2 0.0000 0.5000 0.0000
Ba3 0.5000 0.5000 0.0000
Pr1 0.0000 0.0000 0.5000
Tm1 0.5000 0.0000 0.5000
Tm2 0.5000 0.5000 0.5000
Tm3 0.0000 0.5000 0.5000
Te1 0.2626 0.5253 0.2879
Te2 0.7374 0.4747 0.7121
Te3 0.7514 0.5029 0.2802
Te4 0.2486 0.4971 0.7198
Te5 0.7514 0.0287 0.2801
Te6 0.2486 0.9713 0.7199
Te7 0.2772 0.0287 0.2802
Te8 0.7228 0.9713 0.7198
```

Results
* total magnetization: 0.0 Bohr magnetons per cell
* uncorrected formation energy: -1508 meV/atom

Entry 11:
Below is La2B3C4 after structural relaxation, with properties calculated at the PBE level.

Structure (CIF):
```
data_La2B3C4
_space_group_name_H-M_alt 'P 1'
_space_group_IT_number 1
_cell_length_a 4.8010
_cell_length_b 7.5167
_cell_length_c 6.6795
_cell_angle_alpha 90.00
_cell_angle_beta 111.06
_cell_angle_gamma 90.00
loop_
_space_group_symop_operation_xyz
'x,y,z'
loop_
_atom_site_label
_atom_site_fract_x
_atom_site_fract_y
_atom_site_fract_z
La1 0.1233 0.5835 0.2466
La2 0.8767 0.4165 0.7534
La3 0.3767 0.0835 0.7534
La4 0.6233 0.9165 0.2466
B1 0.0000 0.0000 0.0000
B2 0.5000 0.5000 0.0000
B3 0.5695 0.7500 0.6390
B4 0.9305 0.2500 0.3610
B5 0.4305 0.2500 0.3610
B6 0.0695 0.7500 0.6390
C1 0.7010 0.7500 0.9020
C2 0.7990 0.2500 0.0980
C3 0.2990 0.2500 0.0980
C4 0.2010 0.7500 0.9020
C5 0.2564 0.8242 0.5129
C6 0.7436 0.1758 0.4871
C7 0.2436 0.3242 0.4871
C8 0.7564 0.6758 0.5129
```

Results
* total magnetization: 0.0 Bohr magnetons per cell
* ΔE_f: 5.15 eV per formula unit

Entry 12:
Below is Rb3Ce3ZrTe8 after structural relaxation, with properties calculated at the PBE level.

Structure (CIF):
```
data_Rb3Ce3ZrTe8
_space_group_name_H-M_alt 'P 1'
_space_group_IT_number 1
_cell_length_a 9.0222
_cell_length_b 8.9850
_cell_length_c 8.8936
_cell_angle_alpha 89.86
_cell_angle_beta 90.00
_cell_angle_gamma 120.14
loop_
_space_group_symop_operation_xyz
'x,y,z'
loop_
_atom_site_label
_atom_site_fract_x
_atom_site_fract_y
_atom_site_fract_z
Rb1 0.0000 0.0000 0.0000
Rb2 0.0000 0.5000 0.0000
Rb3 0.5000 0.5000 0.0000
Ce1 0.5000 0.0000 0.5000
Ce2 0.5000 0.5000 0.5000
Ce3 0.0000 0.5000 0.5000
Zr1 0.0000 0.0000 0.5000
Te1 0.1576 0.3152 0.6973
Te2 0.8424 0.6848 0.3027
Te3 0.6666 0.3333 0.7039
Te4 0.3334 0.6667 0.2961
Te5 0.8448 0.1570 0.3078
Te6 0.1552 0.8430 0.6922
Te7 0.3121 0.1570 0.3078
Te8 0.6879 0.8430 0.6922
```

Results
* total magnetization: 3.0 Bohr magnetons per cell
* uncorrected formation energy: -1207 meV/atom

Question: Which formula does entry 6 have?
Answer: SrBeRe2

Question: Which value of total magnetization does entry 8 give?
Answer: 0.0 Bohr magnetons per cell

Question: What is the total magnetization in the ninth record?
Answer: 4.6 Bohr magnetons per cell